! Na5Nd4Ge4O16F | the Alexandria database | PBE-GGA | relaxed; values from VASP
&SYSTEM
  ibrav = 0, nat = 30, ntyp = 5
/
ATOMIC_SPECIES
O 16.00 O.upf
Ge 72.64 Ge.upf
Na 22.99 Na.upf
Nd 144.24 Nd.upf
F 19.00 F.upf
CELL_PARAMETERS angstrom
9.071 0.002 0.000
-7.258 5.442 0.000
-0.907 -2.722 8.606
ATOMIC_POSITIONS crystal
O 0.823 0.949 0.220
O 0.125 0.679 0.966
O 0.647 0.147 0.716
O 0.051 0.271 0.873
O 0.241 0.061 0.750
O 0.853 0.569 0.501
O 0.069 0.353 0.499
O 0.509 0.759 0.820
O 0.431 0.931 0.284
O 0.840 0.875 0.553
O 0.398 0.177 0.127
O 0.311 0.491 0.250
O 0.713 0.160 0.034
O 0.321 0.287 0.447
O 0.939 0.689 0.180
O 0.729 0.602 0.780
Ge 0.741 0.092 0.854
Ge 0.114 0.259 0.351
Ge 0.237 0.886 0.146
Ge 0.908 0.763 0.649
Na 0.000 0.000 0.000
Na 0.438 0.130 0.518
Na 0.612 0.920 0.482
Na 0.080 0.562 0.692
Na 0.870 0.388 0.308
Nd 0.656 0.589 0.297
Nd 0.293 0.360 0.703
Nd 0.411 0.707 0.067
Nd 0.640 0.344 0.933
F 0.500 0.500 0.000
! Raw formation energy: -2410 meV/atom
! Crystal system: tetragonal
! Electronic total energy: -6.5875 eV per atom